Record 1
Entry from OQMD: a geometry-optimized HoFeCo structure (GGA-PBE).

a = 6.6939 Å, b = 3.9758 Å, c = 7.4146 Å
α = 90.00°, β = 90.00°, γ = 90.00°
Each line ends with the local moment (μB).
Fractional positions:
Co: 0.7092 0.7500 0.0993  1.15
Co: 0.2092 0.7500 0.4007  1.13
Co: 0.7908 0.2500 0.5993  1.13
Co: 0.2908 0.2500 0.9007  1.15
Fe: 0.3537 0.7500 0.0657  2.42
Fe: 0.8537 0.7500 0.4343  2.41
Fe: 0.1463 0.2500 0.5657  2.41
Fe: 0.6463 0.2500 0.9343  2.42
Ho: 0.0143 0.2500 0.1895  -0.29
Ho: 0.5143 0.2500 0.3105  -0.29
Ho: 0.4857 0.7500 0.6895  -0.29
Ho: 0.9857 0.7500 0.8105  -0.29

Summary:
Energy of formation from the pure elements   -0.36 eV per formula unit
Volume   197.3 Å³/cell

Record 2
Entry from OQMD: a geometry-optimized HoFeCo structure (GGA-PBE).

a = 6.7894 Å, b = 4.0788 Å, c = 7.1666 Å
α = 90.00°, β = 90.00°, γ = 90.00°
Each line ends with the local moment (μB).
Fractional positions:
Co: 0.8415 0.7500 0.0737  1.37
Co: 0.3415 0.7500 0.4263  1.35
Co: 0.6585 0.2500 0.5737  1.35
Co: 0.1585 0.2500 0.9263  1.37
Fe: 0.1950 0.7500 0.0960  2.36
Fe: 0.6950 0.7500 0.4040  2.34
Fe: 0.3050 0.2500 0.5960  2.34
Fe: 0.8050 0.2500 0.9040  2.36
Ho: 0.5004 0.2500 0.1918  -0.30
Ho: 0.0004 0.2500 0.3082  -0.30
Ho: 0.9996 0.7500 0.6918  -0.30
Ho: 0.4996 0.7500 0.8082  -0.30

Summary:
Energy of formation from the pure elements   -0.26 eV per formula unit
Volume   198.5 Å³/cell